<A>
The following is a DFT calculation (PBEsol) of a relaxed structure of LaY2Sc.

Lattice parameters (Å, degrees): 7.825 7.825 7.825 90.00 90.00 90.00
Space group F-43m (No. 216)
Asymmetric unit:
La 0.000 0.000 0.000 x4
Y 0.000 0.000 0.500 x4
Y 0.250 0.250 0.750 x4
Sc 0.250 0.250 0.250 x4

mass density = 5.0 g cm⁻³
D(E_F) = 25.971 states/eV/cell

=====

<B>
The following is a DFT calculation (PBEsol) of a relaxed structure of LaY2Sc.

Lattice parameters (Å, degrees): 11.445 3.496 5.962 90.00 100.65 90.00
Space group Cm (No. 8)
Asymmetric unit:
La 0.000 0.000 0.000 x2
Y 0.011 0.500 0.509 x2
Y 0.255 0.500 0.251 x2
Sc 0.257 0.000 0.753 x2

mass density = 5.1 g cm⁻³
D(E_F) = 9.998 states/eV/cell

=====

Order from most stable to least stable according to the calculation: <B>, <A>

=====

<A>
The following is a DFT calculation (PBEsol) of a relaxed structure of Ta2HgTe.

Lattice parameters (Å, degrees): 3.089 4.423 5.830 90.00 103.44 90.00
Space group P2/m (No. 10)
Asymmetric unit:
Ta 0.236 0.000 0.259 x2
Hg 0.500 0.500 0.000 x1
Te 0.000 0.500 0.500 x1

mass density = 14.8 g cm⁻³
D(E_F) = 2.489 states/eV/cell

=====

<B>
The following is a DFT calculation (PBEsol) of a relaxed structure of Ta2HgTe.

Lattice parameters (Å, degrees): 4.863 4.863 3.179 90.00 90.00 90.00
Space group P4/mmm (No. 123)
Asymmetric unit:
Ta 0.000 0.500 0.000 x2
Hg 0.000 0.000 0.500 x1
Te 0.500 0.500 0.500 x1

mass density = 15.2 g cm⁻³
D(E_F) = 2.213 states/eV/cell

=====

Order from most stable to least stable according to the calculation: <B>, <A>

=====

<A>
The following is a DFT calculation (PBEsol) of a relaxed structure of Ag2OsBr.

Lattice parameters (Å, degrees): 5.232 5.232 2.630 90.00 90.00 90.00
Space group P4/mmm (No. 123)
Asymmetric unit:
Ag 0.000 0.500 0.000 x2
Os 0.000 0.000 0.500 x1
Br 0.500 0.500 0.500 x1

mass density = 11.2 g cm⁻³
D(E_F) = 3.945 states/eV/cell

=====

<B>
The following is a DFT calculation (PBEsol) of a relaxed structure of Ag2OsBr.

Lattice parameters (Å, degrees): 2.670 3.036 8.956 90.00 90.00 90.00
Space group Pmmm (No. 47)
Asymmetric unit:
Ag 0.000 0.000 0.219 x2
Os 0.500 0.500 0.000 x1
Br 0.000 0.500 0.500 x1

mass density = 11.1 g cm⁻³
D(E_F) = 3.559 states/eV/cell

=====

Order from most stable to least stable according to the calculation: <B>, <A>

=====

<A>
The following is a DFT calculation (PBEsol) of a relaxed structure of RuC.

Lattice parameters (Å, degrees): 5.402 2.814 5.193 90.00 90.00 90.00
Space group Pnma (No. 62)
Asymmetric unit:
Ru 0.042 0.250 0.237 x4
C 0.247 0.750 0.422 x4

mass density = 9.5 g cm⁻³
D(E_F) = 3.985 states/eV/cell

=====

<B>
The following is a DFT calculation (PBEsol) of a relaxed structure of RuC.

Lattice parameters (Å, degrees): 4.8219 4.8219 3.0127 90.00 90.00 120.00
Space group P6/mmm (No. 191)
Asymmetric unit:
Ru 0.0000 0.0000 0.0000 x1
Ru 0.3333 0.6667 0.5000 x2
C 0.0000 0.5000 0.0000 x3

mass density = 9.3 g cm⁻³
D(E_F) = 1.815 states/eV/cell

=====

Order from most stable to least stable according to the calculation: <A>, <B>

=====

<A>
The following is a DFT calculation (PBEsol) of a relaxed structure of ZrCrAgS4.

Lattice parameters (Å, degrees): 7.300 7.407 10.133 90.00 90.00 90.00
Space group Imma (No. 74)
Asymmetric unit:
Zr 0.000 0.000 0.000 x4
Cr 0.250 0.250 0.250 x4
Ag 0.000 0.250 0.639 x4
S 0.000 0.039 0.250 x8
S 0.239 0.250 0.013 x8

mass density = 4.6 g cm⁻³
D(E_F) = 3.142 states/eV/cell

=====

<B>
The following is a DFT calculation (PBEsol) of a relaxed structure of ZrCrAgS4.

Lattice parameters (Å, degrees): 6.003 7.077 13.394 75.05 87.42 90.00
Space group P1 (No. 1)
Asymmetric unit:
Zr 0.000 0.000 0.000 x1
Zr 0.005 0.496 0.009 x1
Zr 0.475 0.780 0.495 x1
Zr 0.968 0.477 0.488 x1
Cr 0.466 0.259 0.493 x1
Cr 0.520 0.241 0.000 x1
Cr 0.521 0.742 0.002 x1
Cr 0.965 0.004 0.495 x1
Ag 0.024 0.609 0.778 x1
Ag 0.088 0.469 0.249 x1
Ag 0.429 0.151 0.738 x1
Ag 0.537 0.953 0.261 x1
S 0.107 0.709 0.599 x1
S 0.134 0.184 0.603 x1
S 0.208 0.297 0.890 x1
S 0.210 0.800 0.893 x1
S 0.293 0.083 0.387 x1
S 0.332 0.552 0.381 x1
S 0.356 0.942 0.103 x1
S 0.365 0.442 0.106 x1
S 0.612 0.447 0.602 x1
S 0.636 0.973 0.603 x1
S 0.669 0.045 0.891 x1
S 0.672 0.546 0.894 x1
S 0.794 0.279 0.383 x1
S 0.821 0.185 0.118 x1
S 0.822 0.694 0.120 x1
S 0.836 0.818 0.384 x1

mass density = 4.6 g cm⁻³
D(E_F) = 0.233 states/eV/cell

=====

Order from most stable to least stable according to the calculation: <A>, <B>

=====

<A>
The following is a DFT calculation (PBEsol) of a relaxed structure of ScRe2Ir.

Lattice parameters (Å, degrees): 3.039 4.359 4.610 90.00 90.00 90.00
Space group Pmmm (No. 47)
Asymmetric unit:
Sc 0.000 0.000 0.000 x1
Re 0.000 0.500 0.500 x1
Re 0.500 0.000 0.500 x1
Ir 0.500 0.500 0.000 x1

mass density = 16.6 g cm⁻³
D(E_F) = 3.401 states/eV/cell

=====

<B>
The following is a DFT calculation (PBEsol) of a relaxed structure of ScRe2Ir.

Lattice parameters (Å, degrees): 4.531 4.531 2.958 90.00 90.00 90.00
Space group P4/mmm (No. 123)
Asymmetric unit:
Sc 0.000 0.000 0.000 x1
Re 0.000 0.500 0.500 x2
Ir 0.500 0.500 0.000 x1

mass density = 16.7 g cm⁻³
D(E_F) = 4.147 states/eV/cell

=====

Order from most stable to least stable according to the calculation: <A>, <B>